Entry 1:
The following is a PBE calculation of a relaxed Sr2MgTl crystal, from Alexandria via LeMat-Bulk. Values from VASP.

```
&SYSTEM
  ibrav = 0, nat = 4, ntyp = 3
/
ATOMIC_SPECIES
Sr 87.62 Sr.upf
Mg 24.30 Mg.upf
Tl 204.38 Tl.upf
CELL_PARAMETERS angstrom
5.849 0.000 0.000
0.000 5.849 0.000
0.000 0.000 4.096
ATOMIC_POSITIONS angstrom
Sr 0.000 2.924 0.000
Sr 2.924 0.000 0.000
Mg 0.000 0.000 2.048
Tl 2.924 2.924 2.048
```

Summary:
* formation energy: -1.03 eV per formula unit
* space-group type: P4/mmm, No. 123

Entry 2:
The following is a PBE calculation of a relaxed SrMg4Tl7 crystal, from Alexandria via LeMat-Bulk. Values from VASP.

```
&SYSTEM
  ibrav = 0, nat = 12, ntyp = 3
/
ATOMIC_SPECIES
Sr 87.62 Sr.upf
Mg 24.30 Mg.upf
Tl 204.38 Tl.upf
CELL_PARAMETERS angstrom
7.244 -3.054 0.000
7.244 3.054 0.000
-5.235 0.000 7.956
ATOMIC_POSITIONS angstrom
Sr 0.000 0.000 0.000
Mg 0.925 0.000 5.262
Mg 5.297 0.000 2.390
Mg 3.957 0.000 5.566
Mg 8.329 0.000 2.694
Tl -1.204 0.000 3.215
Tl -1.560 0.000 7.121
Tl 2.388 0.000 2.614
Tl 7.244 0.000 0.000
Tl 6.865 0.000 5.342
Tl 10.813 0.000 0.836
Tl 10.458 0.000 4.742
```

Summary:
* formation energy: -0.08 eV per formula unit
* space-group type: C2/m, No. 12

Entry 3:
The following is a PBE calculation of a relaxed Sr3Mg2Tl4 crystal, from Alexandria via LeMat-Bulk. Values from VASP.

```
&SYSTEM
  ibrav = 0, nat = 9, ntyp = 3
/
ATOMIC_SPECIES
Sr 87.62 Sr.upf
Mg 24.30 Mg.upf
Tl 204.38 Tl.upf
CELL_PARAMETERS angstrom
6.080 -2.581 0.000
6.080 2.581 0.000
-3.640 0.000 9.128
ATOMIC_POSITIONS angstrom
Sr 0.000 0.000 0.000
Sr 3.275 0.000 2.827
Sr 5.244 0.000 6.301
Mg 1.624 0.000 5.987
Mg 6.896 0.000 3.141
Tl -0.532 0.000 3.608
Tl -0.027 0.000 8.445
Tl 8.547 0.000 0.682
Tl 9.052 0.000 5.520
```

Summary:
* formation energy: -2.74 eV per formula unit
* space-group type: C2/m, No. 12

Entry 4:
The following is a PBE calculation of a relaxed SrMg2Tl crystal, from Alexandria via LeMat-Bulk. Values from VASP.

```
&SYSTEM
  ibrav = 0, nat = 4, ntyp = 3
/
ATOMIC_SPECIES
Sr 87.62 Sr.upf
Mg 24.30 Mg.upf
Tl 204.38 Tl.upf
CELL_PARAMETERS angstrom
4.965 -2.084 0.000
4.965 2.084 0.000
-1.866 0.000 6.002
ATOMIC_POSITIONS angstrom
Sr 0.000 0.000 0.000
Mg 4.085 0.000 3.025
Mg 7.012 0.000 2.059
Tl 1.041 0.000 4.234
```

Summary:
* formation energy: -0.28 eV per formula unit
* space-group type: Cm, No. 8

Entry 5:
The following is a PBE calculation of a relaxed SrMg2Tl crystal, from Alexandria via LeMat-Bulk. Values from VASP.

```
&SYSTEM
  ibrav = 0, nat = 4, ntyp = 3
/
ATOMIC_SPECIES
Sr 87.62 Sr.upf
Mg 24.30 Mg.upf
Tl 204.38 Tl.upf
CELL_PARAMETERS angstrom
4.747 0.000 0.000
0.000 4.802 0.000
0.000 0.000 5.204
ATOMIC_POSITIONS angstrom
Sr 0.000 0.000 0.000
Mg 0.000 2.401 2.602
Mg 2.373 0.000 2.602
Tl 2.373 2.401 0.000
```

Summary:
* formation energy: -0.43 eV per formula unit
* space-group type: Pmmm, No. 47

Entry 6:
The following is a PBE calculation of a relaxed Sr2MgTl5 crystal, from Alexandria via LeMat-Bulk. Values from VASP.

```
&SYSTEM
  ibrav = 0, nat = 8, ntyp = 3
/
ATOMIC_SPECIES
Sr 87.62 Sr.upf
Mg 24.30 Mg.upf
Tl 204.38 Tl.upf
CELL_PARAMETERS angstrom
7.182 0.000 0.000
0.000 7.182 0.000
0.000 0.000 5.381
ATOMIC_POSITIONS angstrom
Sr 0.000 3.591 0.000
Sr 3.591 0.000 0.000
Mg 0.000 0.000 2.690
Tl 0.000 0.000 0.000
Tl 2.073 2.073 2.690
Tl 2.073 5.109 2.690
Tl 5.109 2.073 2.690
Tl 5.109 5.109 2.690
```

Summary:
* formation energy: -0.92 eV per formula unit
* space-group type: P4/mmm, No. 123

Entry 7:
The following is a PBE calculation of a relaxed SrMg4Tl5 crystal, from Alexandria via LeMat-Bulk. Values from VASP.

```
&SYSTEM
  ibrav = 0, nat = 10, ntyp = 3
/
ATOMIC_SPECIES
Sr 87.62 Sr.upf
Mg 24.30 Mg.upf
Tl 204.38 Tl.upf
CELL_PARAMETERS angstrom
3.788 0.000 0.000
0.000 3.788 0.000
0.000 0.000 18.444
ATOMIC_POSITIONS angstrom
Sr 0.000 0.000 0.000
Mg 0.000 0.000 3.927
Mg 0.000 0.000 7.443
Mg 0.000 0.000 11.001
Mg 0.000 0.000 14.517
Tl 1.894 1.894 2.250
Tl 1.894 1.894 5.709
Tl 1.894 1.894 9.222
Tl 1.894 1.894 12.735
Tl 1.894 1.894 16.193
```

Summary:
* formation energy: -1.17 eV per formula unit
* space-group type: P4/mmm, No. 123

Entry 8:
The following is a PBE calculation of a relaxed Sr4MgTl crystal, from Alexandria via LeMat-Bulk. Values from VASP.

```
&SYSTEM
  ibrav = 0, nat = 6, ntyp = 3
/
ATOMIC_SPECIES
Sr 87.62 Sr.upf
Mg 24.30 Mg.upf
Tl 204.38 Tl.upf
CELL_PARAMETERS angstrom
0.000 5.192 5.192
5.192 0.000 5.192
5.192 5.192 0.000
ATOMIC_POSITIONS angstrom
Sr 1.297 1.297 1.297
Sr 3.894 3.894 1.297
Sr 3.894 1.297 3.894
Sr 1.297 3.894 3.894
Mg 5.192 5.192 5.192
Tl 7.788 7.788 7.788
```

Summary:
* formation energy: 2.01 eV per formula unit
* space-group type: F-43m, No. 216

Entry 9:
The following is a PBE calculation of a relaxed SrMgTl crystal, from Alexandria via LeMat-Bulk. Values from VASP.

```
&SYSTEM
  ibrav = 0, nat = 3, ntyp = 3
/
ATOMIC_SPECIES
Sr 87.62 Sr.upf
Mg 24.30 Mg.upf
Tl 204.38 Tl.upf
CELL_PARAMETERS angstrom
4.362 0.000 0.000
-2.181 3.777 0.000
0.000 0.000 6.446
ATOMIC_POSITIONS angstrom
Sr 0.000 0.000 0.000
Mg 0.000 2.518 3.895
Tl 2.181 1.259 2.373
```

Summary:
* formation energy: -0.11 eV per formula unit
* space-group type: P3m1, No. 156

Entry 10:
The following is a PBE calculation of a relaxed SrMg2Tl crystal, from Alexandria via LeMat-Bulk. Values from VASP.

```
&SYSTEM
  ibrav = 0, nat = 8, ntyp = 3
/
ATOMIC_SPECIES
Sr 87.62 Sr.upf
Mg 24.30 Mg.upf
Tl 204.38 Tl.upf
CELL_PARAMETERS angstrom
4.536 0.000 0.000
0.000 4.536 0.000
0.000 0.000 11.798
ATOMIC_POSITIONS angstrom
Sr 1.134 1.134 2.778
Sr 3.402 3.402 9.020
Mg 1.134 1.134 11.073
Mg 1.134 3.402 5.899
Mg 3.402 1.134 5.899
Mg 3.402 3.402 0.725
Tl 1.134 1.134 7.898
Tl 3.402 3.402 3.900
```

Summary:
* formation energy: -0.64 eV per formula unit
* space-group type: P4/nmm, No. 129

Entry 11:
The following is a PBE calculation of a relaxed Sr2Mg3Tl4 crystal, from Alexandria via LeMat-Bulk. Values from VASP.

```
&SYSTEM
  ibrav = 0, nat = 18, ntyp = 3
/
ATOMIC_SPECIES
Sr 87.62 Sr.upf
Mg 24.30 Mg.upf
Tl 204.38 Tl.upf
CELL_PARAMETERS angstrom
3.319 -8.940 0.000
3.319 8.940 0.000
0.000 0.000 8.878
ATOMIC_POSITIONS angstrom
Sr 3.319 7.005 8.051
Sr 3.319 1.935 3.612
Sr 3.319 -1.935 5.267
Sr 3.319 -7.005 0.827
Mg 0.000 0.000 4.439
Mg 1.660 4.021 6.659
Mg 1.660 -4.021 2.220
Mg 3.319 0.000 0.000
Mg 4.979 4.021 6.659
Mg 4.979 -4.021 2.220
Tl 3.319 5.748 4.617
Tl 1.660 1.009 6.659
Tl 1.660 -1.009 2.220
Tl 3.319 3.192 0.178
Tl 3.319 -3.192 8.701
Tl 4.979 1.009 6.659
Tl 4.979 -1.009 2.220
Tl 3.319 -5.748 4.262
```

Summary:
* formation energy: -2.04 eV per formula unit
* space-group type: Cmce, No. 64

Entry 12:
The following is a PBE calculation of a relaxed SrMg2Tl10 crystal, from Alexandria via LeMat-Bulk. Values from VASP.

```
&SYSTEM
  ibrav = 0, nat = 13, ntyp = 3
/
ATOMIC_SPECIES
Sr 87.62 Sr.upf
Mg 24.30 Mg.upf
Tl 204.38 Tl.upf
CELL_PARAMETERS angstrom
0.000 7.853 7.920
3.169 0.000 7.920
3.169 7.853 0.000
ATOMIC_POSITIONS angstrom
Sr 0.000 0.000 0.000
Mg 1.585 3.927 0.000
Mg 1.585 3.927 7.920
Tl 1.585 0.000 3.960
Tl 3.169 2.842 5.195
Tl 3.169 6.138 6.310
Tl 3.169 2.842 10.645
Tl 3.169 6.138 9.530
Tl 1.585 7.853 3.960
Tl 3.169 9.568 6.310
Tl 3.169 12.865 5.195
Tl 3.169 9.568 9.530
Tl 3.169 12.865 10.645
```

Summary:
* formation energy: -0.64 eV per formula unit
* space-group type: Fmmm, No. 69

Entry 13:
The following is a PBE calculation of a relaxed Sr4MgTl2 crystal, from Alexandria via LeMat-Bulk. Values from VASP.

```
&SYSTEM
  ibrav = 0, nat = 7, ntyp = 3
/
ATOMIC_SPECIES
Sr 87.62 Sr.upf
Mg 24.30 Mg.upf
Tl 204.38 Tl.upf
CELL_PARAMETERS angstrom
-4.125 4.125 4.044
4.125 -4.125 4.044
4.125 4.125 -4.044
ATOMIC_POSITIONS angstrom
Sr 2.063 2.063 -2.022
Sr 2.063 -2.063 2.022
Sr -2.063 2.063 2.022
Sr 2.063 2.063 2.022
Mg 0.000 0.000 0.000
Tl 4.125 0.000 0.000
Tl 0.000 4.125 0.000
```

Summary:
* formation energy: -1.50 eV per formula unit
* space-group type: I4/mmm, No. 139

Entry 14:
The following is a PBE calculation of a relaxed Sr2MgTl crystal, from Alexandria via LeMat-Bulk. Values from VASP.

```
&SYSTEM
  ibrav = 0, nat = 4, ntyp = 3
/
ATOMIC_SPECIES
Sr 87.62 Sr.upf
Mg 24.30 Mg.upf
Tl 204.38 Tl.upf
CELL_PARAMETERS angstrom
2.036 1.176 10.811
-2.036 1.176 10.811
0.000 -2.351 10.811
ATOMIC_POSITIONS angstrom
Sr 0.000 0.000 7.997
Sr 0.000 0.000 24.436
Mg 0.000 0.000 0.000
Tl 0.000 0.000 16.217
```

Summary:
* formation energy: -0.28 eV per formula unit
* space-group type: R-3m, No. 166

Entry 15:
The following is a PBE calculation of a relaxed Sr6MgTl crystal, from Alexandria via LeMat-Bulk. Values from VASP.

```
&SYSTEM
  ibrav = 0, nat = 8, ntyp = 3
/
ATOMIC_SPECIES
Sr 87.62 Sr.upf
Mg 24.30 Mg.upf
Tl 204.38 Tl.upf
CELL_PARAMETERS angstrom
-2.952 2.952 10.316
2.952 -2.952 10.316
2.952 2.952 -10.316
ATOMIC_POSITIONS angstrom
Sr 2.952 0.000 2.001
Sr 0.000 0.000 5.148
Sr 2.952 0.000 8.315
Sr 0.000 2.952 2.001
Sr 0.000 0.000 15.484
Sr 0.000 2.952 8.315
Mg 0.000 0.000 0.000
Tl 0.000 0.000 10.316
```

Summary:
* formation energy: -1.02 eV per formula unit
* space-group type: I4/mmm, No. 139

Entry 16:
The following is a PBE calculation of a relaxed Sr4MgTl12 crystal, from Alexandria via LeMat-Bulk. Values from VASP.

```
&SYSTEM
  ibrav = 0, nat = 17, ntyp = 3
/
ATOMIC_SPECIES
Sr 87.62 Sr.upf
Mg 24.30 Mg.upf
Tl 204.38 Tl.upf
CELL_PARAMETERS angstrom
-5.096 5.096 5.096
5.096 -5.096 5.096
5.096 5.096 -5.096
ATOMIC_POSITIONS angstrom
Sr 2.548 2.548 -2.548
Sr 2.548 -2.548 2.548
Sr -2.548 2.548 2.548
Sr 2.548 2.548 2.548
Mg 0.000 0.000 0.000
Tl 2.986 0.000 0.000
Tl 7.206 0.000 0.000
Tl 5.096 2.548 0.000
Tl 5.096 0.000 2.548
Tl 0.000 2.986 0.000
Tl 0.000 0.000 2.986
Tl 2.548 5.096 0.000
Tl 2.548 0.000 5.096
Tl 0.000 7.206 0.000
Tl 0.000 0.000 7.206
Tl 0.000 5.096 2.548
Tl 0.000 2.548 5.096
```

Summary:
* formation energy: -3.97 eV per formula unit
* space-group type: Im-3m, No. 229

Entry 17:
The following is a PBE calculation of a relaxed Sr3MgTl crystal, from Alexandria via LeMat-Bulk. Values from VASP.

```
&SYSTEM
  ibrav = 0, nat = 10, ntyp = 3
/
ATOMIC_SPECIES
Sr 87.62 Sr.upf
Mg 24.30 Mg.upf
Tl 204.38 Tl.upf
CELL_PARAMETERS angstrom
2.942 -11.244 0.000
2.942 11.244 0.000
0.000 0.000 5.876
ATOMIC_POSITIONS angstrom
Sr 2.942 9.639 4.407
Sr 2.942 5.613 4.407
Sr 2.942 1.606 4.407
Sr 2.942 -1.606 1.469
Sr 2.942 -5.613 1.469
Sr 2.942 -9.639 1.469
Mg 2.942 7.651 1.469
Mg 2.942 -7.651 4.407
Tl 2.942 3.551 1.469
Tl 2.942 -3.551 4.407
```

Summary:
* formation energy: -1.04 eV per formula unit
* space-group type: Cmcm, No. 63

Entry 18:
The following is a PBE calculation of a relaxed SrMg3Tl4 crystal, from Alexandria via LeMat-Bulk. Values from VASP.

```
&SYSTEM
  ibrav = 0, nat = 16, ntyp = 3
/
ATOMIC_SPECIES
Sr 87.62 Sr.upf
Mg 24.30 Mg.upf
Tl 204.38 Tl.upf
CELL_PARAMETERS angstrom
10.478 0.000 0.000
0.000 7.850 0.000
0.000 0.000 5.239
ATOMIC_POSITIONS angstrom
Sr 0.000 0.000 0.000
Sr 5.239 0.000 0.000
Mg 0.000 3.925 0.000
Mg 2.620 0.000 2.616
Mg 2.620 3.925 2.610
Mg 5.239 3.925 0.000
Mg 7.859 0.000 2.622
Mg 7.859 3.925 2.629
Tl 0.000 2.133 2.619
Tl 0.000 5.717 2.619
Tl 2.620 2.131 5.232
Tl 2.620 5.719 5.232
Tl 5.239 2.133 2.619
Tl 5.239 5.717 2.619
Tl 7.859 2.131 0.007
Tl 7.859 5.719 0.007
```

Summary:
* formation energy: -1.22 eV per formula unit
* space-group type: Pmma, No. 51

Entry 19:
The following is a PBE calculation of a relaxed Sr5Mg4Tl4 crystal, from Alexandria via LeMat-Bulk. Values from VASP.

```
&SYSTEM
  ibrav = 0, nat = 13, ntyp = 3
/
ATOMIC_SPECIES
Sr 87.62 Sr.upf
Mg 24.30 Mg.upf
Tl 204.38 Tl.upf
CELL_PARAMETERS angstrom
-6.615 6.615 2.428
6.615 -6.615 2.428
6.615 6.615 -2.428
ATOMIC_POSITIONS angstrom
Sr 0.000 0.000 0.000
Sr 4.827 3.872 0.000
Sr 2.743 -1.788 2.428
Sr 3.872 8.403 0.000
Sr 1.788 2.743 2.428
Mg 7.557 1.337 0.000
Mg 1.337 5.674 0.000
Mg 5.278 0.942 2.428
Mg -0.942 5.278 2.428
Tl 3.415 0.694 0.000
Tl 5.921 -3.200 2.428
Tl 0.694 9.815 0.000
Tl 3.200 5.921 2.428
```

Summary:
* formation energy: -3.56 eV per formula unit
* space-group type: I4/m, No. 87

Entry 20:
The following is a PBE calculation of a relaxed Sr5MgTl6 crystal, from Alexandria via LeMat-Bulk. Values from VASP.

```
&SYSTEM
  ibrav = 0, nat = 12, ntyp = 3
/
ATOMIC_SPECIES
Sr 87.62 Sr.upf
Mg 24.30 Mg.upf
Tl 204.38 Tl.upf
CELL_PARAMETERS angstrom
4.924 -8.517 0.000
4.924 8.517 0.000
-3.315 0.000 4.663
ATOMIC_POSITIONS angstrom
Sr 0.000 0.000 0.000
Sr 3.267 5.734 2.331
Sr 4.924 2.962 0.000
Sr 4.924 -2.962 0.000
Sr 3.267 -5.734 2.331
Mg 3.267 0.000 2.331
Tl 1.769 2.674 1.269
Tl 0.171 0.000 3.628
Tl 1.769 -2.674 1.269
Tl 4.764 2.674 3.394
Tl 6.362 0.000 1.034
Tl 4.764 -2.674 3.394
```

Summary:
* formation energy: -4.40 eV per formula unit
* space-group type: C2/m, No. 12

Entry 21:
The following is a PBE calculation of a relaxed Sr2MgTl2 crystal, from Alexandria via LeMat-Bulk. Values from VASP.

```
&SYSTEM
  ibrav = 0, nat = 10, ntyp = 3
/
ATOMIC_SPECIES
Sr 87.62 Sr.upf
Mg 24.30 Mg.upf
Tl 204.38 Tl.upf
CELL_PARAMETERS angstrom
6.332 -2.477 0.000
6.332 2.477 0.000
-5.716 0.000 10.757
ATOMIC_POSITIONS angstrom
Sr -0.949 0.000 1.819
Sr -1.137 0.000 6.497
Sr 8.084 0.000 4.261
Sr 7.896 0.000 8.938
Mg 2.792 0.000 1.443
Mg 4.155 0.000 9.315
Tl -0.766 0.000 9.975
Tl 2.502 0.000 6.688
Tl 4.445 0.000 4.070
Tl 7.713 0.000 0.783
```

Summary:
* formation energy: -1.62 eV per formula unit
* space-group type: C2/m, No. 12

Entry 22:
The following is a PBE calculation of a relaxed SrMg9Tl2 crystal, from Alexandria via LeMat-Bulk. Values from VASP.

```
&SYSTEM
  ibrav = 0, nat = 24, ntyp = 3
/
ATOMIC_SPECIES
Sr 87.62 Sr.upf
Mg 24.30 Mg.upf
Tl 204.38 Tl.upf
CELL_PARAMETERS angstrom
-6.226 6.226 3.961
6.226 -6.226 3.961
6.226 6.226 -3.961
ATOMIC_POSITIONS angstrom
Sr 6.226 3.113 0.990
Sr 0.000 3.113 2.971
Mg 6.226 -3.113 2.971
Mg 4.699 -0.589 1.407
Mg 7.752 -0.589 1.407
Mg 2.524 1.586 0.573
Mg 9.928 1.586 0.573
Mg 4.699 5.636 -1.407
Mg 1.527 -0.589 2.554
Mg 2.524 4.639 0.573
Mg 3.702 -1.586 4.534
Mg 2.524 7.812 -0.573
Mg 3.702 1.586 3.387
Mg 4.699 6.815 1.407
Mg 1.527 0.589 5.368
Mg -3.702 4.639 3.387
Mg 3.702 4.639 3.387
Mg -1.527 6.815 2.554
Mg 1.527 6.815 2.554
Mg 0.000 9.338 0.990
Tl 0.000 0.000 0.000
Tl 3.113 3.113 -1.980
Tl 3.113 -3.113 1.980
Tl 0.000 6.226 0.000
```

Summary:
* formation energy: -0.87 eV per formula unit
* space-group type: I4_1/amd, No. 141